(1)
Sc4HgC2Se | GGA-PBE | relaxed

Unit cell a=3.4446 b=3.4446 c=13.6217 alpha=90.00 beta=90.00 gamma=120.00
Space group P-6m2 (No. 187)
Asymmetric unit:
Sc  0.0000  0.0000  0.1390 [2 per cell]
Sc  0.3333  0.6667  0.3165 [2 per cell]
Hg  0.0000  0.0000  0.5000 [1 per cell]
C  0.6667  0.3333  0.2309 [2 per cell]
Se  0.3333  0.6667  0.0000 [1 per cell]

Results
Volume: 139.97 Å³ per cell
Crystal system: hexagonal
Total energy: -6.77 eV/atom


(2)
Sc4HgTeC2 | GGA-PBE | relaxed

Unit cell a=3.4520 b=3.4520 c=14.1732 alpha=90.00 beta=90.00 gamma=120.00
Space group P-6m2 (No. 187)
Asymmetric unit:
Sc  0.0000  0.0000  0.1579 [2 per cell]
Sc  0.3333  0.6667  0.3272 [2 per cell]
Hg  0.0000  0.0000  0.5000 [1 per cell]
Te  0.3333  0.6667  0.0000 [1 per cell]
C  0.6667  0.3333  0.2411 [2 per cell]

Results
Volume: 146.26 Å³ per cell
Crystal system: hexagonal
Total energy: -6.56 eV/atom


(3)
TmSc3Hg2C2 | GGA-PBE | relaxed

Unit cell a=3.3974 b=3.3974 c=15.1959 alpha=90.00 beta=90.00 gamma=120.00
Space group P3m1 (No. 156)
Asymmetric unit:
Tm  0.0000  0.0000  0.0000 [1 per cell]
Sc  0.0000  0.0000  0.3361 [1 per cell]
Sc  0.3333  0.6667  0.4955 [1 per cell]
Sc  0.3333  0.6667  0.8310 [1 per cell]
Hg  0.0000  0.0000  0.6634 [1 per cell]
Hg  0.3333  0.6667  0.1735 [1 per cell]
C  0.6667  0.3333  0.4174 [1 per cell]
C  0.6667  0.3333  0.9090 [1 per cell]

Results
Volume: 151.90 Å³ per cell
Crystal system: trigonal
Total energy: -5.78 eV/atom


(4)
ZrScHgC | GGA-PBE | relaxed

Unit cell a=3.3519 b=3.3519 c=14.9870 alpha=90.00 beta=90.00 gamma=120.00
Space group P6_3mc (No. 186)
Asymmetric unit:
Zr  0.3333  0.6667  0.0000 [2 per cell]
Sc  0.3333  0.6667  0.3335 [2 per cell]
Hg  0.3333  0.6667  0.6674 [2 per cell]
C  0.0000  0.0000  0.4196 [2 per cell]

Results
Polymorph energy (0 for the lowest one): 8 meV per atom
Volume: 145.82 Å³ per cell
Crystal system: hexagonal